[1]
Density functional theory data (PBE) for a relaxed SiN crystal.

It has space group Pmmn (No. 59, origin choice 2), with a = 2.910 Å, b = 9.912 Å, c = 4.030 Å, α = 90.00°, β = 90.00° and γ = 90.00°. Symmetry generates all atoms from Si at (0.250, 0.056, 0.219), Si at (0.250, 0.750, 0.272), N at (0.250, 0.250, 0.973) and N at (0.250, 0.606, 0.520).

Its energy relative to the elements, uncorrected is -660 meV/atom. For the energy above the most stable polymorph in this dataset, the calculation gives 0.181 eV per formula unit. The value obtained for the calculated volume is 116.2 Å³/cell. The density of states at the Fermi level comes out at 0.23 states/eV/atom.

***

[2]
Density functional theory data (PBE) for a relaxed LaYNiIr crystal.

It has space group Amm2 (No. 38), with a = 4.220 Å, b = 3.920 Å, c = 10.811 Å, α = 90.00°, β = 90.00° and γ = 90.00°. Symmetry generates all atoms from La at (0.000, 0.000, 0.000), Y at (0.500, 0.000, 0.719), Ni at (0.500, 0.000, 0.430) and Ir at (0.000, 0.000, 0.277).

The value obtained for the energy of formation from the pure elements is -0.578 eV/atom. For the energy above the most stable polymorph in this dataset, the calculation gives 0.000 eV per formula unit. The value obtained for the calculated volume is 178.8 Å³/cell. The density of states at the Fermi level comes out at 0.62 states/eV/atom.

***

[3]
Density functional theory data (PBE) for a relaxed Rb2ScU3O12 crystal.

It has space group R-3m (No. 166, hexagonal axes), with a = 7.9966 Å, b = 7.9966 Å, c = 18.3374 Å, α = 90.00°, β = 90.00° and γ = 120.00°. Symmetry generates all atoms from Rb at (0.0000, 0.0000, 0.1259), Sc at (0.0000, 0.0000, 0.5000), U at (0.0000, 0.5000, 0.0000), O at (0.0778, 0.5389, 0.3565) and O at (0.0793, 0.5397, 0.1031).

Its energy relative to the elements, uncorrected is -2880 meV/atom. The value obtained for the calculated volume is 1015.5 Å³/cell. The density of states at the Fermi level comes out at 0.77 states/eV/atom.

***

[4]
Density functional theory data (PBE) for a relaxed CuIr2PtRh crystal.

It has space group P4/mmm (No. 123), with a = 4.643 Å, b = 4.643 Å, c = 4.914 Å, α = 90.00°, β = 90.00° and γ = 90.00°. Symmetry generates all atoms from Cu at (0.000, 0.000, 0.000), Ir at (0.000, 0.500, 0.500), Pt at (0.500, 0.500, 0.000) and Rh at (0.500, 0.500, 0.500).

The value obtained for the energy of formation from the pure elements is 1.863 eV/atom. The value obtained for the calculated volume is 105.9 Å³/cell. The density of states at the Fermi level comes out at 1.30 states/eV/atom.

***

[5]
Density functional theory data (PBE) for a relaxed PRhCl2 crystal.

It has space group Pm (No. 6), with a = 4.546 Å, b = 3.429 Å, c = 6.067 Å, α = 90.00°, β = 104.17° and γ = 90.00°. Symmetry generates all atoms from P at (0.000, 0.000, 0.000), Rh at (0.102, 0.500, 0.244), Cl at (0.301, 0.000, 0.787) and Cl at (0.632, 0.500, 0.359).

Its energy relative to the elements, uncorrected is -382 meV/atom. For the energy above the most stable polymorph in this dataset, the calculation gives 1.418 eV per formula unit. The value obtained for the calculated volume is 91.7 Å³/cell. The density of states at the Fermi level comes out at 0.02 states/eV/atom.

***

[6]
Density functional theory data (PBE) for a relaxed BaMg2Mo crystal.

It has space group P4/mmm (No. 123), with a = 4.731 Å, b = 4.731 Å, c = 4.959 Å, α = 90.00°, β = 90.00° and γ = 90.00°. Symmetry generates all atoms from Ba at (0.000, 0.000, 0.000), Mg at (0.000, 0.500, 0.500) and Mo at (0.500, 0.500, 0.000).

The value obtained for the energy of formation from the pure elements is 0.828 eV/atom. For the energy above the most stable polymorph in this dataset, the calculation gives 1.222 eV per formula unit. The value obtained for the calculated volume is 111.0 Å³/cell. The density of states at the Fermi level comes out at 0.67 states/eV/atom.

***

[7]
Density functional theory data (PBE) for a relaxed ZrAlSb3 crystal.

It has space group Pm-3m (No. 221), with a = 5.194 Å, b = 5.194 Å, c = 5.194 Å, α = 90.00°, β = 90.00° and γ = 90.00°. Symmetry generates all atoms from Zr at (0.000, 0.000, 0.000), Al at (0.500, 0.500, 0.500) and Sb at (0.000, 0.500, 0.500).

Its energy relative to the elements, uncorrected is 626 meV/atom. For the energy above the most stable polymorph in this dataset, the calculation gives 1.188 eV per formula unit. The value obtained for the calculated volume is 140.2 Å³/cell. The density of states at the Fermi level comes out at 1.00 states/eV/atom.

***

[8]
Density functional theory data (PBE) for a relaxed VH2Cl6 crystal.

It has space group C2/c (No. 15), with a = 13.436 Å, b = 16.767 Å, c = 5.617 Å, α = 90.00°, β = 114.54° and γ = 90.00°. Symmetry generates all atoms from V at (0.000, 0.178, 0.250), H at (0.145, 0.482, 0.510), Cl at (0.100, 0.104, 0.572), Cl at (0.103, 0.251, 0.136) and Cl at (0.145, 0.433, 0.692).

The value obtained for the calculated total energy is -0.2836 Ry per atom. The value obtained for the calculated volume is 1151.1 Å³/cell. The density of states at the Fermi level comes out at 0.76 states/eV/atom.

***

[9]
Density functional theory data (PBE) for a relaxed RbNa2SrHg crystal.

It has space group P4/mmm (No. 123), with a = 6.190 Å, b = 6.190 Å, c = 6.307 Å, α = 90.00°, β = 90.00° and γ = 90.00°. Symmetry generates all atoms from Rb at (0.000, 0.000, 0.000), Na at (0.000, 0.500, 0.500), Sr at (0.500, 0.500, 0.000) and Hg at (0.500, 0.500, 0.500).

The value obtained for the energy of formation from the pure elements is -0.069 eV/atom. The value obtained for the calculated volume is 241.7 Å³/cell. The density of states at the Fermi level comes out at 0.48 states/eV/atom.

***

[10]
Density functional theory data (PBE) for a relaxed K2FePt2 crystal.

It has space group P4/mbm (No. 127), with a = 6.533 Å, b = 6.533 Å, c = 5.474 Å, α = 90.00°, β = 90.00° and γ = 90.00°. Symmetry generates all atoms from K at (0.176, 0.324, 0.000), Fe at (0.000, 0.000, 0.500) and Pt at (0.140, 0.640, 0.500).

The value obtained for the energy of formation from the pure elements is 0.143 eV/atom. For the energy above the most stable polymorph in this dataset, the calculation gives 0.000 eV per formula unit. The value obtained for the calculated volume is 233.6 Å³/cell. The density of states at the Fermi level comes out at 0.60 states/eV/atom.

***

[11]
Density functional theory data (PBE) for a relaxed Rb4AsF crystal.

It has space group P2_1/m (No. 11), with a = 7.102 Å, b = 11.214 Å, c = 7.116 Å, α = 90.00°, β = 97.60° and γ = 90.00°. Symmetry generates all atoms from Rb at (0.136, 0.250, 0.256), Rb at (0.246, 0.750, 0.364), Rb at (0.306, 0.061, 0.808), As at (0.380, 0.750, 0.879) and F at (0.127, 0.250, 0.628).

Its energy relative to the elements, uncorrected is -1007 meV/atom. For the energy above the most stable polymorph in this dataset, the calculation gives 0.017 eV per formula unit. The value obtained for the calculated volume is 561.7 Å³/cell. The density of states at the Fermi level comes out at 0.64 states/eV/atom.